Entry 1:
The following is a PBE calculation of a relaxed SmDyY2Th crystal, from the Alexandria database.

## Properties
* density of states at the Fermi level: 13.9 states/eV/cell
* energy of formation from the pure elements: 334 meV per atom

Unit cell a=6.427 b=8.601 c=6.299 alpha=97.58 beta=90.00 gamma=90.00
Fractional positions:
Y1 0.690 0.687 0.790
Y2 0.690 0.313 0.710
Y3 0.310 0.313 0.210
Y4 0.310 0.687 0.290
Th1 0.447 0.000 0.750
Th2 0.553 0.000 0.250
Sm1 0.000 0.000 0.000
Sm2 0.000 0.000 0.500
Dy1 0.825 0.500 0.250
Dy2 0.175 0.500 0.750

Entry 2:
The following is a PBE calculation of a relaxed CaIrRh crystal, from the Alexandria database.

## Properties
* density of states at the Fermi level: 5.7 states/eV/cell
* energy above the most stable polymorph in this dataset: 2.29 eV/f.u.
* energy of formation from the pure elements: 315 meV per atom

Unit cell a=4.454 b=4.454 c=4.454 alpha=60.00 beta=60.00 gamma=60.00
Fractional positions:
Ca1 0.500 0.500 0.500
Rh1 0.000 0.000 0.000
Ir1 0.750 0.750 0.750

Entry 3:
The following is a PBE calculation of a relaxed Al3Au8 crystal, from the Alexandria database.

## Properties
* density of states at the Fermi level: 6.0 states/eV/cell
* energy above the most stable polymorph in this dataset: 0.00 eV/f.u.
* energy of formation from the pure elements: -279 meV per atom

Unit cell a=7.831 b=7.831 c=14.981 alpha=74.85 beta=74.85 gamma=60.00
Fractional positions:
Au1 0.351 0.704 0.949
Au2 0.384 0.125 0.843
Au3 0.147 0.625 0.343
Au4 0.884 0.147 0.343
Au5 0.218 0.218 0.347
Au6 0.116 0.853 0.657
Au7 0.353 0.616 0.157
Au8 0.204 0.851 0.449
Au9 0.282 0.282 0.153
Au10 0.649 0.296 0.051
Au11 0.616 0.875 0.157
Au12 0.496 0.204 0.449
Au13 0.296 0.004 0.051
Au14 0.875 0.353 0.157
Au15 0.625 0.884 0.343
Au16 0.796 0.149 0.551
Au17 0.704 0.996 0.949
Au18 0.125 0.647 0.843
Au19 0.996 0.351 0.949
Au20 0.647 0.384 0.843
Au21 0.853 0.375 0.657
Au22 0.149 0.504 0.551
Au23 0.851 0.496 0.449
Au24 0.563 0.563 0.311
Au25 0.504 0.796 0.551
Au26 0.782 0.782 0.653
Au27 0.718 0.718 0.847
Au28 0.937 0.937 0.189
Au29 0.375 0.116 0.657
Au30 0.063 0.063 0.811
Au31 0.004 0.649 0.051
Au32 0.437 0.437 0.689
Al1 0.844 0.844 0.469
Al2 0.750 0.065 0.750
Al3 0.435 0.750 0.750
Al4 0.065 0.435 0.750
Al5 0.500 0.500 0.500
Al6 0.656 0.656 0.031
Al7 0.565 0.250 0.250
Al8 0.250 0.935 0.250
Al9 0.000 0.000 0.000
Al10 0.156 0.156 0.531
Al11 0.935 0.565 0.250
Al12 0.344 0.344 0.969

Entry 4:
The following is a PBE calculation of a relaxed Ce2NdPdN4 crystal, from the Alexandria database.

## Properties
* density of states at the Fermi level: 7.3 states/eV/cell
* formation energy (no corrections): -97 kJ/mol of atoms

Unit cell a=3.496 b=6.175 c=11.900 alpha=90.00 beta=90.00 gamma=106.44
Fractional positions:
N1 0.460 0.920 0.750
N2 0.271 0.542 0.388
N3 0.540 0.080 0.250
N4 0.729 0.458 0.612
N5 0.271 0.542 0.112
N6 0.000 0.000 0.000
N7 0.729 0.458 0.888
N8 0.000 0.000 0.500
Ce1 0.629 0.258 0.446
Ce2 0.371 0.742 0.946
Ce3 0.371 0.742 0.554
Ce4 0.629 0.258 0.054
Pd1 0.147 0.295 0.250
Pd2 0.853 0.705 0.750
Nd1 0.886 0.771 0.250
Nd2 0.114 0.229 0.750

Entry 5:
The following is a PBE calculation of a relaxed CaPS2I crystal, from the Alexandria database.

## Properties
* density of states at the Fermi level: 2.6 states/eV/cell
* energy above the most stable polymorph in this dataset: 0.00 eV/f.u.
* formation energy (no corrections): 24 kJ/mol of atoms

Unit cell a=5.101 b=5.101 c=5.164 alpha=90.00 beta=90.00 gamma=90.00
Fractional positions:
S1 0.000 0.500 0.000
S2 0.500 0.000 0.000
Ca1 0.500 0.500 0.500
P1 0.000 0.000 0.500
I1 0.000 0.000 0.000

Entry 6:
The following is a PBE calculation of a relaxed LaSc2OsO8 crystal, from the Alexandria database.

## Properties
* density of states at the Fermi level: 3.7 states/eV/cell
* formation energy (no corrections): -239 kJ/mol of atoms

Unit cell a=4.909 b=4.906 c=6.747 alpha=90.00 beta=90.00 gamma=87.85
Site moments in Bohr magnetons follow the coordinates.
Fractional positions:
O1 0.674 0.676 0.500  0.00
O2 0.802 0.200 0.797  0.06
O3 0.267 0.265 0.000  0.00
O4 0.802 0.200 0.203  0.06
O5 0.198 0.800 0.203  0.06
O6 0.198 0.800 0.797  0.06
O7 0.326 0.324 0.500  0.00
O8 0.733 0.735 0.000  0.00
La1 0.000 0.000 0.500  0.01
Os1 0.000 0.000 0.000  0.66
Sc1 0.500 0.500 0.738  0.03
Sc2 0.500 0.500 0.262  0.03

Entry 7:
The following is a PBE calculation of a relaxed AlCoCl2 crystal, from the Alexandria database.

## Properties
* density of states at the Fermi level: 5.0 states/eV/cell
* energy above the most stable polymorph in this dataset: 3.15 eV/f.u.
* formation energy (no corrections): 22 kJ/mol of atoms

Unit cell a=6.392 b=6.392 c=6.392 alpha=146.26 beta=146.26 gamma=48.46
Site moments in Bohr magnetons follow the coordinates.
Fractional positions:
Cl1 0.000 0.000 0.000  0.02
Cl2 0.250 0.750 0.500  0.01
Co1 0.500 0.500 0.000  1.85
Al1 0.750 0.250 0.500  0.01

Entry 8:
The following is a PBE calculation of a relaxed YMoRh2 crystal, from the Alexandria database.

## Properties
* density of states at the Fermi level: 5.0 states/eV/cell
* energy above the most stable polymorph in this dataset: 0.54 eV/f.u.
* energy of formation from the pure elements: -132 meV per atom

Unit cell a=4.821 b=4.821 c=4.821 alpha=126.80 beta=126.80 gamma=78.57
Site moments in Bohr magnetons follow the coordinates.
Fractional positions:
Rh1 0.000 0.000 0.000  0.08
Rh2 0.500 0.500 0.000  0.08
Mo1 0.750 0.250 0.500  0.45
Y1 0.250 0.750 0.500  0.03

Which of these has the highest density of states at the Fermi level? SmDyY2Th